1.
Density functional theory data (PBE) for an optimized crystal structure of Co2PIr.

The space group is R3m (No. 160, hexagonal axes) and the conventional cell measures 2.7446, 2.7446 and 22.7257 Å, with angles of 90.00, 90.00 and 120.00 degrees. The distinct sites, in fractional coordinates, are Co at (0.0000, 0.0000, 0.0000), Co at (0.0000, 0.0000, 0.2477), P at (0.0000, 0.0000, 0.7385) and Ir at (0.0000, 0.0000, 0.4873).

The calculation puts the formation energy at 0.017 eV per atom. The density comes out at 11461 kg/m³. The value obtained for the volume is 12.4 A^3/atom. The density of states at the Fermi level comes out at 14.73 states/eV per cell. The calculation puts the spin magnetization at 2.740 μB per formula unit.


2.
Density functional theory data (PBE) for an optimized crystal structure of CoP2Ir.

The space group is C2/m (No. 12) and the conventional cell measures 7.295, 2.880 and 4.891 Å, with angles of 90.00, 102.56 and 90.00 degrees. The distinct sites, in fractional coordinates, are Co at (0.000, 0.000, 0.000), P at (0.248, 0.500, 0.231) and Ir at (0.000, 0.500, 0.500).

The calculation puts the formation energy at -0.144 eV per atom. The density comes out at 10367 kg/m³. The value obtained for the volume is 12.5 A^3/atom. The density of states at the Fermi level comes out at 5.25 states/eV per cell. The calculation puts the spin magnetization at 0.001 μB per formula unit.


3.
Density functional theory data (PBE) for an optimized crystal structure of Co2PIr.

The space group is Amm2 (No. 38) and the conventional cell measures 3.512, 2.761 and 9.991 Å, with angles of 90.00, 90.00 and 90.00 degrees. The distinct sites, in fractional coordinates, are Co at (0.000, 0.000, 0.000), Co at (0.500, 0.000, 0.366), P at (0.000, 0.000, 0.785) and Ir at (0.500, 0.000, 0.630).

The calculation puts the formation energy at -0.185 eV per atom. The density comes out at 11693 kg/m³. The value obtained for the volume is 12.1 A^3/atom. The density of states at the Fermi level comes out at 6.34 states/eV per cell. The calculation puts the spin magnetization at 2.080 μB per formula unit.


4.
Density functional theory data (PBE) for an optimized crystal structure of Co2P2Ir.

The space group is P4/mbm (No. 127) and the conventional cell measures 6.370, 6.370 and 2.877 Å, with angles of 90.00, 90.00 and 90.00 degrees. The distinct sites, in fractional coordinates, are Co at (0.137, 0.363, 0.000), P at (0.149, 0.649, 0.500) and Ir at (0.000, 0.000, 0.500).

The calculation puts the formation energy at -0.272 eV per atom. The density comes out at 10585 kg/m³. The value obtained for the volume is 11.7 A^3/atom. The density of states at the Fermi level comes out at 5.90 states/eV per cell. The calculation puts the spin magnetization at 0.000 μB per formula unit.


5.
Density functional theory data (PBE) for an optimized crystal structure of CoP2Ir2.

The space group is I4/mmm (No. 139) and the conventional cell measures 3.998, 3.998 and 9.123 Å, with angles of 90.00, 90.00 and 90.00 degrees. The distinct sites, in fractional coordinates, are Co at (0.000, 0.000, 0.000), P at (0.000, 0.000, 0.385) and Ir at (0.000, 0.500, 0.250).

The calculation puts the formation energy at -0.001 eV per atom. The density comes out at 11510 kg/m³. The value obtained for the volume is 14.6 A^3/atom. The density of states at the Fermi level comes out at 10.78 states/eV per cell. The calculation puts the spin magnetization at 1.690 μB per formula unit.


6.
Density functional theory data (PBE) for an optimized crystal structure of CoP2Ir.

The space group is F-43m (No. 216) and the conventional cell measures 5.950, 5.950 and 5.950 Å, with angles of 90.00, 90.00 and 90.00 degrees. The distinct sites, in fractional coordinates, are Co at (0.000, 0.000, 0.000), P at (0.000, 0.000, 0.500), P at (0.250, 0.250, 0.750) and Ir at (0.250, 0.250, 0.250).

The calculation puts the formation energy at 0.493 eV per atom. The density comes out at 9873 kg/m³. The value obtained for the volume is 13.2 A^3/atom. The density of states at the Fermi level comes out at 20.32 states/eV per cell. The calculation puts the spin magnetization at 1.401 μB per formula unit.


7.
Density functional theory data (PBE) for an optimized crystal structure of CoPIr.

The space group is Imm2 (No. 44) and the conventional cell measures 2.879, 3.756 and 7.147 Å, with angles of 90.00, 90.00 and 90.00 degrees. The distinct sites, in fractional coordinates, are Co at (0.000, 0.000, 0.000), P at (0.000, 0.000, 0.313) and Ir at (0.000, 0.000, 0.646).

The calculation puts the formation energy at 0.061 eV per atom. The density comes out at 12121 kg/m³. The value obtained for the volume is 12.9 A^3/atom. The density of states at the Fermi level comes out at 5.01 states/eV per cell. The calculation puts the spin magnetization at 1.791 μB per formula unit.


8.
Density functional theory data (PBE) for an optimized crystal structure of CoP3Ir.

The space group is P1 (No. 1) and the conventional cell measures 3.654, 4.389 and 4.999 Å, with angles of 114.71, 102.51 and 93.18 degrees. The distinct sites, in fractional coordinates, are Co at (0.000, 0.000, 0.000), P at (0.469, 0.197, 0.859), P at (0.600, 0.986, 0.271), P at (0.653, 0.522, 0.617) and Ir at (0.134, 0.710, 0.405).

The calculation puts the formation energy at -0.176 eV per atom. The density comes out at 8146 kg/m³. The value obtained for the volume is 14.0 A^3/atom. The density of states at the Fermi level comes out at 1.50 states/eV per cell. The calculation puts the spin magnetization at 0.000 μB per formula unit.


9.
Density functional theory data (PBE) for an optimized crystal structure of Co2PIr.

The space group is P2/m (No. 10) and the conventional cell measures 2.746, 3.686 and 4.903 Å, with angles of 90.00, 104.92 and 90.00 degrees. The distinct sites, in fractional coordinates, are Co at (0.140, 0.000, 0.274), P at (0.500, 0.500, 0.500) and Ir at (0.500, 0.500, 0.000).

The calculation puts the formation energy at -0.109 eV per atom. The density comes out at 11811 kg/m³. The value obtained for the volume is 12.0 A^3/atom. The density of states at the Fermi level comes out at 3.87 states/eV per cell. The calculation puts the spin magnetization at 2.150 μB per formula unit.


10.
Density functional theory data (PBE) for an optimized crystal structure of CoP3Ir.

The space group is Cm (No. 8) and the conventional cell measures 9.918, 3.601 and 4.441 Å, with angles of 90.00, 112.32 and 90.00 degrees. The distinct sites, in fractional coordinates, are Co at (0.000, 0.000, 0.000), P at (0.141, 0.500, 0.179), P at (0.262, 0.500, 0.712), P at (0.430, 0.500, 0.435) and Ir at (0.287, 0.000, 0.066).

The calculation puts the formation energy at -0.189 eV per atom. The density comes out at 7789 kg/m³. The value obtained for the volume is 14.7 A^3/atom. The density of states at the Fermi level comes out at 5.49 states/eV per cell. The calculation puts the spin magnetization at 0.000 μB per formula unit.


11.
Density functional theory data (PBE) for an optimized crystal structure of CoP2Ir.

The space group is Cm (No. 8) and the conventional cell measures 7.444, 2.892 and 5.114 Å, with angles of 90.00, 91.03 and 90.00 degrees. The distinct sites, in fractional coordinates, are Co at (0.000, 0.000, 0.000), P at (0.225, 0.500, 0.163), P at (0.403, 0.000, 0.709) and Ir at (0.126, 0.000, 0.501).

The calculation puts the formation energy at -0.395 eV per atom. The density comes out at 9446 kg/m³. The value obtained for the volume is 13.8 A^3/atom. The density of states at the Fermi level comes out at 3.48 states/eV per cell. The calculation puts the spin magnetization at 0.000 μB per formula unit.


12.
Density functional theory data (PBE) for an optimized crystal structure of CoPIr.

The space group is P3m1 (No. 156) and the conventional cell measures 3.8519, 3.8519 and 2.9750 Å, with angles of 90.00, 90.00 and 120.00 degrees. The distinct sites, in fractional coordinates, are Co at (0.0000, 0.0000, 0.0000), P at (0.6667, 0.3333, 0.7639) and Ir at (0.3333, 0.6667, 0.5164).

The calculation puts the formation energy at -0.148 eV per atom. The density comes out at 12255 kg/m³. The value obtained for the volume is 12.7 A^3/atom. The density of states at the Fermi level comes out at 2.86 states/eV per cell. The calculation puts the spin magnetization at 0.681 μB per formula unit.


13.
Density functional theory data (PBE) for an optimized crystal structure of CoP2Ir.

The space group is R-3m (No. 166, hexagonal axes) and the conventional cell measures 2.8448, 2.8448 and 21.4440 Å, with angles of 90.00, 90.00 and 120.00 degrees. The distinct sites, in fractional coordinates, are Co at (0.0000, 0.0000, 0.0000), P at (0.0000, 0.0000, 0.2566) and Ir at (0.0000, 0.0000, 0.5000).

The calculation puts the formation energy at -0.146 eV per atom. The density comes out at 10378 kg/m³. The value obtained for the volume is 12.5 A^3/atom. The density of states at the Fermi level comes out at 5.79 states/eV per cell. The calculation puts the spin magnetization at 0.368 μB per formula unit.


14.
Density functional theory data (PBE) for an optimized crystal structure of CoP2Ir.

The space group is I-42d (No. 122) and the conventional cell measures 5.091, 5.091 and 10.320 Å, with angles of 90.00, 90.00 and 90.00 degrees. The distinct sites, in fractional coordinates, are Co at (0.000, 0.000, 0.000), P at (0.230, 0.250, 0.125) and Ir at (0.000, 0.000, 0.500).

The calculation puts the formation energy at -0.282 eV per atom. The density comes out at 7775 kg/m³. The value obtained for the volume is 16.7 A^3/atom. The density of states at the Fermi level comes out at 11.45 states/eV per cell. The calculation puts the spin magnetization at 0.000 μB per formula unit.


15.
Density functional theory data (PBE) for an optimized crystal structure of CoPIr.

The space group is Fmm2 (No. 42) and the conventional cell measures 2.862, 4.781 and 11.469 Å, with angles of 90.00, 90.00 and 90.00 degrees. The distinct sites, in fractional coordinates, are Co at (0.000, 0.000, 0.000), P at (0.000, 0.000, 0.364) and Ir at (0.000, 0.000, 0.699).

The calculation puts the formation energy at 0.195 eV per atom. The density comes out at 11939 kg/m³. The value obtained for the volume is 13.1 A^3/atom. The density of states at the Fermi level comes out at 12.38 states/eV per cell. The calculation puts the spin magnetization at 0.002 μB per formula unit.


16.
Density functional theory data (PBE) for an optimized crystal structure of Co2PIr.

The space group is I4/mmm (No. 139) and the conventional cell measures 3.567, 3.567 and 7.577 Å, with angles of 90.00, 90.00 and 90.00 degrees. The distinct sites, in fractional coordinates, are Co at (0.000, 0.500, 0.250), P at (0.000, 0.000, 0.000) and Ir at (0.000, 0.000, 0.500).

The calculation puts the formation energy at 0.045 eV per atom. The density comes out at 11748 kg/m³. The value obtained for the volume is 12.1 A^3/atom. The density of states at the Fermi level comes out at 10.03 states/eV per cell. The calculation puts the spin magnetization at 3.234 μB per formula unit.


17.
Density functional theory data (PBE) for an optimized crystal structure of CoPIr3.

The space group is Pm-3m (No. 221) and the conventional cell measures 4.455, 4.455 and 4.455 Å, with angles of 90.00, 90.00 and 90.00 degrees. The distinct sites, in fractional coordinates, are Co at (0.000, 0.000, 0.000), P at (0.500, 0.500, 0.500) and Ir at (0.000, 0.000, 0.500).

The calculation puts the formation energy at 1.659 eV per atom. The density comes out at 12516 kg/m³. The value obtained for the volume is 17.7 A^3/atom. The density of states at the Fermi level comes out at 6.96 states/eV per cell. The calculation puts the spin magnetization at 3.288 μB per formula unit.


18.
Density functional theory data (PBE) for an optimized crystal structure of CoPIr.

The space group is F-43m (No. 216) and the conventional cell measures 5.395, 5.395 and 5.395 Å, with angles of 90.00, 90.00 and 90.00 degrees. The distinct sites, in fractional coordinates, are Co at (0.000, 0.000, 0.000), P at (0.250, 0.250, 0.750) and Ir at (0.000, 0.000, 0.500).

The calculation puts the formation energy at -0.487 eV per atom. The density comes out at 11930 kg/m³. The value obtained for the volume is 13.1 A^3/atom. The density of states at the Fermi level comes out at 5.25 states/eV per cell. The calculation puts the spin magnetization at 0.000 μB per formula unit.


19.
Density functional theory data (PBE) for an optimized crystal structure of CoP2Ir.

The space group is Pm (No. 6) and the conventional cell measures 3.533, 4.313 and 4.222 Å, with angles of 90.00, 114.54 and 90.00 degrees. The distinct sites, in fractional coordinates, are Co at (0.000, 0.000, 0.000), P at (0.125, 0.500, 0.252), P at (0.316, 0.000, 0.629) and Ir at (0.443, 0.500, 0.884).

The calculation puts the formation energy at -0.355 eV per atom. The density comes out at 8882 kg/m³. The value obtained for the volume is 14.6 A^3/atom. The density of states at the Fermi level comes out at 2.20 states/eV per cell. The calculation puts the spin magnetization at 0.006 μB per formula unit.


20.
Density functional theory data (PBE) for an optimized crystal structure of Co2PIr.

The space group is Immm (No. 71) and the conventional cell measures 2.762, 4.157 and 8.259 Å, with angles of 90.00, 90.00 and 90.00 degrees. The distinct sites, in fractional coordinates, are Co at (0.000, 0.000, 0.214), P at (0.000, 0.500, 0.500) and Ir at (0.000, 0.500, 0.000).

The calculation puts the formation energy at -0.145 eV per atom. The density comes out at 11946 kg/m³. The value obtained for the volume is 11.9 A^3/atom. The density of states at the Fermi level comes out at 7.19 states/eV per cell. The calculation puts the spin magnetization at 2.443 μB per formula unit.